A plane-wave DFT calculation with PBE was carried out for an optimized crystal structure of Tm5Te3Os.

Cell lengths 8.0760, 8.0760, 4.1695 Å; angles 90.00, 90.00, 120.00 degrees
Space group P-62m (No. 189)
Asymmetric unit:
Tm  0.0000  0.6612  0.0000 x3
Tm  0.3333  0.6667  0.5000 x2
Te  0.0000  0.2568  0.5000 x3
Os  0.0000  0.0000  0.0000 x1

Values from the calculation:
**Magnetic moment**: 0.02 Bohr magnetons per cell
**ΔE to the lowest computed polymorph**: 172 kJ/mol of formula units